Record 1
Here is an optimized crystal structure of MnZn2N3 from Alexandria via LeMat-Bulk. Energies are from GGA-PBEsol.

Structure (POSCAR):
```
MnZn2N3
1.0
5.1563 0.0000 0.0000
0.0000 5.4462 0.0030
0.0000 2.7135 4.7221
Zn N Mn
4 6 2
Cartesian
5.0185 3.1940 0.7975
2.4403 2.2815 2.3733
2.4403 4.9656 3.9276
5.0185 5.8781 2.3519
1.8645 5.8233 2.2193
4.4427 2.3363 2.5058
1.8645 3.3362 0.7791
1.6183 3.0928 4.0671
4.1965 5.0669 0.6581
4.4427 4.8234 3.9460
2.3760 4.9999 0.7737
4.9541 3.1597 3.9515
```

Results
Formation energy (no corrections): -0.12 eV/atom
SG: Cmc2_1, No. 36
Total energy: -78.449 eV for the cell shown



Record 2
Here is an optimized crystal structure of LiLaCu4 from Alexandria via LeMat-Bulk. Energies are from GGA-PBEsol.

Structure (POSCAR):
```
LiLaCu4
1.0
5.0776 0.0000 0.0000
2.5388 4.3973 0.0000
2.5388 1.4658 4.1458
Cu Li La
4 1 1
Cartesian
3.7826 2.1839 1.5442
6.3726 2.1839 1.5442
5.0776 2.9315 3.6589
5.0776 4.4269 1.5442
0.0000 0.0000 0.0000
7.6164 4.3973 3.1094
```

Results
SG: F-43m, No. 216
Total energy: -25.383 eV for the cell shown
ΔE_f: -122 meV/atom



Record 3
Here is an optimized crystal structure of Tl2ReAgI from Alexandria via LeMat-Bulk. Energies are from GGA-PBEsol.

Structure (POSCAR):
```
Tl2ReAgI
1.0
4.9061 0.0000 0.0000
0.0000 6.1618 0.0000
0.0000 0.0000 6.1618
Tl I Re Ag
2 1 1 1
Cartesian
0.0000 3.0809 0.0000
0.0000 0.0000 3.0809
0.0000 0.0000 0.0000
2.4530 0.0000 0.0000
2.4530 3.0809 3.0809
```

Results
Formation energy (no corrections): 1.71 eV/atom
SG: P4/mmm, No. 123
Total energy: -15.122 eV for the cell shown